[1]
DFT (GGA-PBE) results for a geometry-optimized SmAl4Pd2 structure.

Unit cell a=7.8270 b=7.8270 c=4.1268 alpha=90.00 beta=90.00 gamma=90.00
Last column: nearest neighbours and their distance in Å.
Space group P4_2/mnm (No. 136)
Asymmetric unit:
1 Sm 0.0000 0.0000 0.0000 [2 per cell]  6 Pd 3.10-3.19, 8 Al 3.41
2 Al 0.0839 0.3374 0.5000 [8 per cell]  3 Pd 2.55-2.61, 1 Al 2.81
3 Pd 0.2197 0.7803 0.5000 [4 per cell]  6 Al 2.55-2.61

Properties
The value obtained for the volume is 253 Å³/cell. As for the density of states at the Fermi level: 2.7 states/eV/f.u. The value obtained for the total energy is -4.992 eV/atom. The formation energy is -0.695 eV per atom. For the energy above the lowest structure with this stoichiometry, the calculation gives 0.449 eV/f.u.



[2]
DFT (GGA-PBE) results for a geometry-optimized CeEr2Zr structure.

Unit cell a=4.7626 b=4.7626 c=4.9247 alpha=90.00 beta=90.00 gamma=90.00
Last column: nearest neighbours and their distance in Å.
Space group P4/mmm (No. 123)
Asymmetric unit:
1 Ce 0.0000 0.0000 0.0000 [1 per cell]  4 Zr 3.37, 8 Er 3.43
2 Er 0.0000 0.5000 0.5000 [2 per cell]  4 Er 3.37, 4 Zr 3.43, 4 Ce 3.43
3 Zr 0.5000 0.5000 0.0000 [1 per cell]  4 Ce 3.37, 8 Er 3.43

Properties
The value obtained for the volume is 112 Å³/cell. As for the density of states at the Fermi level: 4.4 states/eV/f.u. The value obtained for the total energy is -5.805 eV/atom. The formation energy is 0.096 eV per atom. For the energy above the lowest structure with this stoichiometry, the calculation gives 0.008 eV/f.u.



[3]
DFT (GGA-PBE) results for a geometry-optimized Co2AuSe structure.

Unit cell a=6.2435 b=6.2435 c=6.2435 alpha=90.00 beta=90.00 gamma=90.00
Last column: nearest neighbours and their distance in Å.
Space group F-43m (No. 216)
Asymmetric unit:
1 Co 0.0000 0.0000 0.0000 [4 per cell]  4 Se 2.70, 4 Co 2.70
2 Co 0.2500 0.2500 0.2500 [4 per cell]  4 Co 2.70, 4 Au 2.70
3 Au 0.0000 0.0000 0.5000 [4 per cell]  4 Se 2.70, 4 Co 2.70
4 Se 0.2500 0.2500 0.7500 [4 per cell]  4 Co 2.70, 4 Au 2.70

Properties
Its uncorrected formation energy is 0.5564 eV/atom. The value obtained for the volume is 243 Å³/cell. As for the density of states at the Fermi level: 5.5 states/eV/f.u. The value obtained for the total energy is -4.687 eV/atom. For the energy above the lowest structure with this stoichiometry, the calculation gives 1.434 eV/f.u.



[4]
DFT (GGA-PBE) results for a geometry-optimized LaVN3 structure.

Unit cell a=3.5450 b=6.2965 c=6.6803 alpha=72.21 beta=79.42 gamma=86.79
Last column: nearest neighbours and their distance in Å.
Space group P1 (No. 1)
Asymmetric unit:
1 La 0.0000 0.0000 0.0000 [1 per cell]  6 N 2.45-2.74
2 La 0.1422 0.5008 0.4726 [1 per cell]  5 N 2.38-2.67
3 V 0.4934 0.0272 0.4761 [1 per cell]  3 N 1.75-1.94
4 V 0.5327 0.4740 0.9716 [1 per cell]  2 N 1.72-1.84
5 N 0.0731 0.4458 0.8614 [1 per cell]  2 V 1.94
6 N 0.4698 0.6988 0.0700 [1 per cell]  1 V 1.72
7 N 0.5088 0.2190 0.2012 [1 per cell]  2 V 1.84-1.86
8 N 0.6188 0.7648 0.4462 [1 per cell]  1 V 1.75
9 N 0.6439 0.1605 0.6866 [1 per cell]  1 N 1.39
10 N 0.9580 0.0749 0.5789 [1 per cell]  1 N 1.39

Properties
Its uncorrected formation energy is -0.9551 eV/atom. The value obtained for the volume is 140 Å³/cell. The value obtained for the total energy is -8.760 eV/atom.



[5]
DFT (GGA-PBE) results for a geometry-optimized Pm2ZnN structure.

Unit cell a=3.6590 b=3.6590 c=22.4598 alpha=90.00 beta=90.00 gamma=120.00
Last column: nearest neighbours and their distance in Å.
Space group R-3m (No. 166, hexagonal axes)
Asymmetric unit:
1 Pm 0.0000 0.0000 0.2288 [6 per cell]  3 N 2.53
2 Zn 0.0000 0.0000 0.0000 [3 per cell]  6 Pm 3.16
3 N 0.0000 0.0000 0.5000 [3 per cell]  6 Pm 2.53

Properties
Its uncorrected formation energy is -0.7452 eV/atom. The value obtained for the volume is 260 Å³/cell. As for the density of states at the Fermi level: 3.1 states/eV/f.u. The value obtained for the total energy is -5.520 eV/atom. For the energy above the lowest structure with this stoichiometry, the calculation gives 0.000 eV/f.u.



[6]
DFT (GGA-PBE) results for a geometry-optimized SrCr2Os structure.

Unit cell a=2.9570 b=3.7793 c=7.0987 alpha=90.00 beta=98.87 gamma=90.00
Last column: nearest neighbours and their distance in Å.
Space group Pm (No. 6)
Asymmetric unit:
1 Sr 0.0000 0.0000 0.0000 [1 per cell]  2 Sr 2.96
2 Cr 0.5852 0.5000 0.3464 [1 per cell]  2 Cr 2.41, 1 Os 2.46
3 Cr 0.9267 0.0000 0.5256 [1 per cell]  2 Cr 2.41, 2 Os 2.42
4 Os 0.3667 0.5000 0.6669 [1 per cell]  3 Cr 2.42-2.46

Properties
The value obtained for the volume is 78 Å³/cell. As for the density of states at the Fermi level: 3.4 states/eV/f.u. The value obtained for the total energy is -7.348 eV/atom. The formation energy is 0.692 eV per atom. For the energy above the lowest structure with this stoichiometry, the calculation gives 0.402 eV/f.u.